Here is a relaxed structure of NdHfIr from OQMD via LeMat-Bulk. Energies are from PBE-GGA.

CIF file:
```
data_NdHfIr
_symmetry_space_group_name_H-M 'P 4/n m m'
_symmetry_Int_Tables_number 129
_cell_length_a 4.6042
_cell_length_b 4.6042
_cell_length_c 6.8140
_cell_angle_alpha 90.00
_cell_angle_beta 90.00
_cell_angle_gamma 90.00
loop_
_symmetry_equiv_pos_as_xyz
'x,y,z'
'-x,-y,-z'
'-y+1/2,x,z'
'y+1/2,-x,-z'
'-x+1/2,-y+1/2,z'
'x+1/2,y+1/2,-z'
'y,-x+1/2,z'
'-y,x+1/2,-z'
'x+1/2,-y,-z'
'-x+1/2,y,z'
'-y,-x,-z'
'y,x,z'
'-x,y+1/2,-z'
'x,-y+1/2,z'
'y+1/2,x+1/2,-z'
'-y+1/2,-x+1/2,z'
loop_
_atom_site_label
_atom_site_type_symbol
_atom_site_fract_x
_atom_site_fract_y
_atom_site_fract_z
Nd1 Nd 0.2500 0.2500 0.1310
Hf1 Hf 0.2500 0.7500 0.5000
Ir1 Ir 0.2500 0.2500 0.7041
```

- spin magnetization (Bohr magnetons per cell) = 0.0
- density (Mg/m³) = 11.8
- formation enthalpy at 0 K (meV per atom) = -707